1.
A relaxed structure of La4CoPd, computed with PBE.

Output
Final energy: -5.63 eV/atom
Energy above the most stable polymorph in this dataset: 25 meV/atom
Total moment: 0.00 μB per formula unit
D(E_F): 13.770 states/eV per cell
Formation energy from the elements: -297 meV per atom

Cell: 8.716 8.716 6.880 Å, 108.62 108.62 117.43°
Sites, in units of the cell vectors:
La 0.040 0.637 0.847
La 0.204 0.301 0.727
La 0.301 0.204 0.227
La 0.363 0.960 0.653
La 0.637 0.040 0.347
La 0.699 0.796 0.773
La 0.796 0.699 0.273
La 0.960 0.363 0.153
Co 0.073 0.927 0.750
Co 0.927 0.073 0.250
Pd 0.387 0.613 0.250
Pd 0.613 0.387 0.750

***

2.
A relaxed structure of La4TlOsI2, computed with PBE.

Output
Final energy: -5.27 eV/atom
Total moment: 0.00 μB per formula unit
D(E_F): 5.858 states/eV per cell

Cell: 7.952 4.344 8.574 Å, 90.00 107.63 90.00°
Sites, in units of the cell vectors:
La 0.213 0.000 0.192
La 0.217 0.500 0.803
La 0.783 0.500 0.197
La 0.787 0.000 0.808
Tl 0.500 0.000 0.000
Os 0.000 0.500 0.000
I 0.000 0.000 0.500
I 0.500 0.500 0.500

***

3.
A relaxed structure of TbPr3Tm6, computed with PBE.

Output
Final energy: -4.27 eV/atom
Energy above the most stable polymorph in this dataset: 238 meV/atom
Total moment: 0.00 μB per formula unit
D(E_F): 19.698 states/eV per cell
Formation energy from the elements: 310 meV per atom

Cell: 6.887 6.887 6.887 Å, 91.44 91.44 91.44°
Sites, in units of the cell vectors:
Tb 0.000 0.000 0.000
Pr 0.249 0.249 0.249
Pr 0.500 0.500 0.500
Pr 0.751 0.751 0.751
Tm 0.076 0.753 0.420
Tm 0.247 0.580 0.924
Tm 0.420 0.076 0.753
Tm 0.580 0.924 0.247
Tm 0.753 0.420 0.076
Tm 0.924 0.247 0.580